{
  "formula": "VP3O9",
  "functional": "GGA+U",
  "state": "relaxed",
  "lattice_angstrom": [[8.509, 0.000, 0.000], [0.000, 8.535, 0.000], [0.000, 0.000, 9.362]],
  "species": ["V", "V", "V", "V", "P", "P", "P", "P", "P", "P", "P", "P", "P", "P", "P", "P", "O", "O", "O", "O", "O", "O", "O", "O", "O", "O", "O", "O", "O", "O", "O", "O", "O", "O", "O", "O", "O", "O", "O", "O", "O", "O", "O", "O", "O", "O", "O", "O", "O", "O", "O", "O"],
  "frac_coords": [[0.654, 0.625, 0.608], [0.846, 0.375, 0.108], [0.346, 0.125, 0.892], [0.154, 0.875, 0.392], [0.803, 0.678, 0.910], [0.024, 0.677, 0.670], [0.190, 0.537, 0.199], [0.310, 0.463, 0.699], [0.476, 0.323, 0.170], [0.697, 0.322, 0.410], [0.197, 0.178, 0.590], [0.976, 0.177, 0.830], [0.810, 0.037, 0.301], [0.690, 0.963, 0.801], [0.524, 0.823, 0.330], [0.303, 0.822, 0.090], [0.961, 0.731, 0.824], [0.609, 0.690, 0.401], [0.225, 0.651, 0.063], [0.847, 0.612, 0.052], [0.889, 0.609, 0.585], [0.160, 0.636, 0.329], [0.424, 0.588, 0.655], [0.699, 0.580, 0.816], [0.142, 0.544, 0.721], [0.358, 0.456, 0.221], [0.801, 0.420, 0.316], [0.076, 0.412, 0.155], [0.340, 0.364, 0.829], [0.611, 0.391, 0.085], [0.653, 0.388, 0.552], [0.275, 0.349, 0.563], [0.891, 0.310, 0.901], [0.539, 0.269, 0.324], [0.039, 0.231, 0.676], [0.391, 0.190, 0.099], [0.775, 0.151, 0.437], [0.153, 0.112, 0.448], [0.111, 0.109, 0.915], [0.840, 0.136, 0.171], [0.576, 0.088, 0.845], [0.301, 0.080, 0.684], [0.858, 0.044, 0.779], [0.642, 0.956, 0.279], [0.199, 0.920, 0.184], [0.924, 0.912, 0.345], [0.660, 0.864, 0.671], [0.389, 0.891, 0.415], [0.347, 0.888, 0.948], [0.725, 0.849, 0.937], [0.109, 0.810, 0.599], [0.461, 0.769, 0.176]],
  "relative_energy_mev_per_atom": 16,
  "total_magnetization_mub_per_cell": 8.0,
  "energy_ev_per_atom": -7.3952
}